AcCrGa3 after structural relaxation, computed with GGA-PBE.

abc: 4.7714 4.7714 4.7714
angles: 90.00 90.00 90.00
Space group Pm-3m (No. 221)
Unique sites:
1 Ac 0.0000 0.0000 0.0000 x1
2 Cr 0.5000 0.5000 0.5000 x1
3 Ga 0.0000 0.5000 0.5000 x3

Properties
- DFT total energy (eV per atom) = -4.865
- calculated formation energy (meV per atom) = -303